Computed, not measured: crystalline BeVNiO4 at its relaxed geometry at the GGA+U level of DFT.

abc: 5.6544 5.6544 5.6544
angles: 120.71 118.48 90.72
Fractional coordinates of all 14 atoms:
Be: 0.3848 0.1348 0.2500
Be: 0.6152 0.8652 0.7500
V: 0.0000 0.5000 0.5000
V: 0.5000 0.5000 0.0000
Ni: 0.0000 0.0000 0.5000
Ni: 0.0000 0.5000 0.0000
O: 0.2523 0.7412 0.5112
O: 0.2588 0.2612 0.5024
O: 0.2588 0.7563 0.9976
O: 0.2700 0.2588 0.0112
O: 0.7300 0.7412 0.9888
O: 0.7412 0.2437 0.0024
O: 0.7412 0.7388 0.4976
O: 0.7477 0.2588 0.4888

Calculated values
* M_tot: 0.4286 μB/atom
* total DFT energy (no corrections): -6.67 eV per atom
* symmetry: Imma (74)